(1)
Below is TcAs2P after structural relaxation, with properties calculated at the PBE level.

Values from the calculation:
Calculated volume in Å³/cell: 72.5
E_form in eV per formula unit: 0.11
DFT total energy in eV per cell: -25.0
DOS at the Fermi energy in states/eV/f.u.: 1.40

```
4
Lattice="4.3587 0.0000 0.0000 0.0000 2.1984 3.7812 0.0000 -2.1984 3.7812" Properties=species:S:1:pos:R:3 pbc="T T T"
Tc 0.0000 0.0000 0.0000
As 0.0000 0.0000 4.8729
As 2.1793 0.0000 1.5068
P 2.1793 0.0000 6.4641
```

(2)
Below is BeVPCl2 after structural relaxation, with properties calculated at the PBE level.

Values from the calculation:
Calculated volume in Å³/cell: 100.5
Formation energy from raw total energies in meV per atom: 303
DFT total energy in eV per cell: -20.4
Distance to the lowest polymorph of the same formula in meV per atom: 143.3
DOS at the Fermi energy in states/eV/f.u.: 4.37

```
5
Lattice="4.5232 0.0000 0.0000 0.0000 4.5232 0.0000 0.0000 0.0000 4.9129" Properties=species:S:1:pos:R:3 pbc="T T T"
Be 0.0000 0.0000 0.0000
V 2.2616 2.2616 2.4564
P 2.2616 2.2616 0.0000
Cl 0.0000 2.2616 2.4564
Cl 2.2616 0.0000 2.4564
```

(3)
Below is ScP2Pt after structural relaxation, with properties calculated at the PBE level.

Values from the calculation:
Calculated volume in Å³/cell: 65.4
E_form in eV per formula unit: -2.80
DFT total energy in eV per cell: -26.0
Distance to the lowest polymorph of the same formula in meV per atom: 176.3
DOS at the Fermi energy in states/eV/f.u.: 1.60

```
4
Lattice="4.9227 -1.7568 0.0000 4.9227 1.7568 0.0000 -0.7311 0.0000 3.7803" Properties=species:S:1:pos:R:3 pbc="T T T"
Sc 0.0000 0.0000 0.0000
P 4.2596 0.0000 1.8302
P 7.1673 0.0000 0.3147
Pt 1.9224 0.0000 2.2110
```

(4)
Below is LiSm3Rh3 after structural relaxation, with properties calculated at the PBE level.

Values from the calculation:
Calculated volume in Å³/cell: 297.6
E_form in eV per formula unit: -4.45
DFT total energy in eV per cell: -85.1
DOS at the Fermi energy in states/eV/f.u.: 4.22

```
14
Lattice="2.0417 -5.2176 0.0000 2.0417 5.2176 0.0000 0.0000 0.0000 13.9699" Properties=species:S:1:pos:R:3 pbc="T T T"
Li 0.0000 0.0000 0.0000
Li 0.0000 0.0000 6.9850
Sm 2.0417 4.9221 10.4774
Sm 2.0417 2.0472 8.4236
Sm 2.0417 2.0472 12.5313
Sm 2.0417 -2.0472 1.4386
Sm 2.0417 -2.0472 5.5464
Sm 2.0417 -4.9221 3.4925
Rh 2.0417 2.6474 3.4925
Rh 2.0417 0.9637 1.2609
Rh 2.0417 0.9637 5.7241
Rh 2.0417 -0.9637 8.2459
Rh 2.0417 -0.9637 12.7090
Rh 2.0417 -2.6474 10.4774
```

(5)
Below is TmPu3Au4 after structural relaxation, with properties calculated at the PBE level.

Values from the calculation:
Calculated volume in Å³/cell: 188.0
E_form in eV per formula unit: -4.20
DFT total energy in eV per cell: -64.8
DOS at the Fermi energy in states/eV/f.u.: 27.00

```
8
Lattice="3.4925 0.0000 0.0000 0.0000 3.4925 0.0000 0.0000 0.0000 15.4118" Properties=species:S:1:pos:R:3 pbc="T T T"
Tm 0.0000 0.0000 0.0000
Pu 0.0000 0.0000 3.7743
Pu 0.0000 0.0000 7.7059
Pu 0.0000 0.0000 11.6375
Au 1.7463 1.7463 1.7109
Au 1.7463 1.7463 5.7307
Au 1.7463 1.7463 9.6811
Au 1.7463 1.7463 13.7009
```

(6)
Below is Gd2AgOs after structural relaxation, with properties calculated at the PBE level.

Values from the calculation:
Calculated volume in Å³/cell: 90.6
E_form in eV per formula unit: -1.06
DFT total energy in eV per cell: -43.3
DOS at the Fermi energy in states/eV/f.u.: 2.17

```
4
Lattice="3.4230 0.0000 0.0000 0.0000 3.4230 0.0000 0.0000 0.0000 7.7332" Properties=species:S:1:pos:R:3 pbc="T T T"
Gd 0.0000 0.0000 1.7046
Gd 0.0000 0.0000 6.0286
Ag 1.7115 1.7115 3.8666
Os 1.7115 1.7115 0.0000
```

(7)
Below is Tl2CdI2 after structural relaxation, with properties calculated at the PBE level.

Values from the calculation:
Calculated volume in Å³/cell: 243.8
Formation energy from raw total energies in meV per atom: -321
DFT total energy in eV per cell: -10.4
Distance to the lowest polymorph of the same formula in meV per atom: 76.2
DOS at the Fermi energy in states/eV/f.u.: 0.00

```
5
Lattice="-3.0457 3.0457 6.5718 3.0457 -3.0457 6.5718 3.0457 3.0457 -6.5718" Properties=species:S:1:pos:R:3 pbc="T T T"
Tl 0.0000 0.0000 1.8371
Tl 0.0000 0.0000 11.3066
Cd 0.0000 0.0000 6.5718
I 3.0457 0.0000 3.2859
I 0.0000 3.0457 3.2859
```

(8)
Below is CsHoCuCl6 after structural relaxation, with properties calculated at the PBE level.

Values from the calculation:
Calculated volume in Å³/cell: 305.9
Formation energy from raw total energies in meV per atom: -1640
DFT total energy in eV per cell: -35.4

```
9
Lattice="6.5664 0.0000 0.0000 -2.5965 6.0330 0.0000 -0.5155 -0.7771 7.7224" Properties=species:S:1:pos:R:3 pbc="T T T"
Cs 0.0000 0.0000 0.0000
Ho 0.4445 3.4771 3.8617
Cu 3.6373 1.3814 3.8573
Cl -0.9426 1.4896 5.0291
Cl -1.2951 3.3624 2.0007
Cl -0.1411 5.1141 5.7257
Cl 1.9321 1.7748 2.3721
Cl 2.5994 2.7856 5.3464
Cl 1.7155 5.5380 2.6903
```

(9)
Below is Cs2As2Ru after structural relaxation, with properties calculated at the PBE level.

Values from the calculation:
Calculated volume in Å³/cell: 355.1
E_form in eV per formula unit: 5.96
DFT total energy in eV per cell: -28.6
Distance to the lowest polymorph of the same formula in meV per atom: 1204.7
DOS at the Fermi energy in states/eV/f.u.: 7.03

```
10
Lattice="10.5756 0.0000 0.0000 0.0000 10.5756 0.0000 0.0000 0.0000 3.1751" Properties=species:S:1:pos:R:3 pbc="T T T"
Cs 1.3034 3.9844 0.0000
Cs 3.9844 9.2722 0.0000
Cs 6.5912 1.3034 0.0000
Cs 9.2722 6.5912 0.0000
As 1.8676 7.1554 1.5875
As 3.4202 1.8676 1.5875
As 7.1554 8.7080 1.5875
As 8.7080 3.4202 1.5875
Ru 0.0000 0.0000 0.0000
Ru 5.2878 5.2878 0.0000
```

(10)
Below is Ti2ReMoI after structural relaxation, with properties calculated at the PBE level.

Values from the calculation:
Calculated volume in Å³/cell: 107.6
Formation energy from raw total energies in meV per atom: 1743
DFT total energy in eV per cell: -31.9
DOS at the Fermi energy in states/eV/f.u.: 8.12

```
5
Lattice="4.6241 0.0000 0.0000 0.0000 4.6241 0.0000 0.0000 0.0000 5.0330" Properties=species:S:1:pos:R:3 pbc="T T T"
Ti 0.0000 2.3121 0.0000
Ti 2.3121 0.0000 0.0000
Re 0.0000 0.0000 2.5165
Mo 2.3121 2.3121 0.0000
I 2.3121 2.3121 2.5165
```